Cs7SbH2Au2 (GGA-PBE, optimized geometry); crystal system = orthorhombic; total DFT energy (no corrections) = -26.41 eV for the cell shown; spin magnetization = 0.00 μB per formula unit; space group = Imm2
1.0
-4.9596 -2.5079 -3.7647
2.4525 -6.3469 0.9971
-6.0264 3.2447 11.7623
Cs Sb H Au
7 1 2 2
direct
0.4042 0.8807 0.8084
0.7251 0.7186 0.4501
0.0959 0.6185 0.1918
0.5958 0.0723 0.1916
0.2749 0.2685 0.5499
0.9041 0.4268 0.8082
0.5000 0.4297 0.0000
0.0000 0.0377 0.0000
0.3888 0.4178 0.7775
0.6112 0.6403 0.2225
0.2539 0.7483 0.5077
0.7461 0.2406 0.4923